1.
First-principles (PBE) data for an optimized crystal structure of Zr3CrCo8, as listed in Alexandria.

Values from the calculation:
Raw total energy (eV/atom): -7.88

abc: 8.399 8.399 8.399
angles: 33.58 33.58 33.58
Positions (direct):
Zr (0.000, 0.000, 0.000)
Zr (0.130, 0.130, 0.130)
Zr (0.513, 0.513, 0.513)
Cr (0.634, 0.634, 0.634)
Co (0.066, 0.569, 0.569)
Co (0.070, 0.070, 0.566)
Co (0.070, 0.566, 0.070)
Co (0.318, 0.318, 0.318)
Co (0.566, 0.070, 0.070)
Co (0.569, 0.066, 0.569)
Co (0.569, 0.569, 0.066)
Co (0.818, 0.818, 0.818)

2.
First-principles (PBE) data for an optimized crystal structure of RbGaSb, as listed in Alexandria.

Values from the calculation:
Energy above the lowest structure with this stoichiometry (meV per atom): 15.4
Formation energy (no corrections) (kcal/mol of atoms): -3.27

abc: 7.283 7.283 7.283
angles: 150.01 150.01 42.93
Positions (direct):
Rb (0.000, 0.000, 0.000)
Ga (0.307, 0.307, 0.000)
Sb (0.702, 0.702, 0.000)

3.
First-principles (PBE) data for an optimized crystal structure of HfNbSn2, as listed in Alexandria.

Values from the calculation:
Energy above the lowest structure with this stoichiometry (meV per atom): 23.2

abc: 9.906 9.906 9.906
angles: 18.51 18.51 18.51
Positions (direct):
Hf (0.000, 0.000, 0.000)
Nb (0.500, 0.500, 0.500)
Sn (0.247, 0.247, 0.247)
Sn (0.753, 0.753, 0.753)

4.
First-principles (PBE) data for an optimized crystal structure of BaLaNi3, as listed in Alexandria.

Values from the calculation:
Energy above the lowest structure with this stoichiometry (meV per atom): 0.0

abc: 5.112 5.112 5.112
angles: 90.00 90.00 90.00
Positions (direct):
Ba (0.000, 0.000, 0.000)
La (0.500, 0.500, 0.500)
Ni (0.000, 0.500, 0.500)
Ni (0.500, 0.000, 0.500)
Ni (0.500, 0.500, 0.000)